[1]
A relaxed AcLaPr3Y crystal, computed with PBE-GGA.

Geometry as POSCAR:
```
AcLaPr3Y
1.0
10.5073 -2.9953 0.0000
10.5073 2.9953 0.0000
-0.1580 0.0000 7.1672
Ac La Pr Y
2 2 6 2
direct
0.1482 0.1482 0.0288 Ac
0.8518 0.8518 0.9712 Ac
0.4455 0.4455 0.7248 La
0.5545 0.5545 0.2752 La
0.0158 0.0158 0.7451 Pr
0.2824 0.2824 0.7308 Pr
0.3372 0.3372 0.2579 Pr
0.6628 0.6628 0.7421 Pr
0.7176 0.7176 0.2692 Pr
0.9842 0.9842 0.2549 Pr
0.1442 0.1442 0.4878 Y
0.8558 0.8558 0.5122 Y
```

Values from the calculation:
Raw total energy: -4.808 eV/atom
Energy relative to the elements: 0.99 eV/f.u.
Density: 6.5 Mg/m³
M_tot: 0.0 μB/f.u.
Crystal system: monoclinic


[2]
A relaxed Ac6LaPrY2 crystal, computed with PBE-GGA.

Geometry as POSCAR:
```
Ac6LaPrY2
1.0
5.9986 -3.7639 0.0000
5.9986 3.7639 0.0000
-2.3954 0.0000 9.2114
Ac La Pr Y
6 1 1 2
direct
0.0978 0.5781 0.2002 Ac
0.1412 0.1412 0.4208 Ac
0.4219 0.9022 0.7998 Ac
0.5781 0.0978 0.2002 Ac
0.8588 0.8588 0.5792 Ac
0.9022 0.4219 0.7998 Ac
0.5000 0.5000 0.5000 La
0.0000 0.0000 0.0000 Pr
0.4076 0.4076 0.8394 Y
0.5924 0.5924 0.1606 Y
```

Values from the calculation:
Raw total energy: -4.526 eV/atom
Energy relative to the elements: 2.02 eV/f.u.
Density: 7.3 Mg/m³
M_tot: 0.0 μB/f.u.
Crystal system: monoclinic


[3]
A relaxed AcLa3Pr2Y6 crystal, computed with PBE-GGA.

Geometry as POSCAR:
```
AcLa3Pr2Y6
1.0
3.1949 -5.5335 0.0000
3.1949 5.5335 0.0000
-2.1278 0.0000 11.8065
Ac La Pr Y
1 3 2 6
direct
0.0000 0.0000 0.0000 Ac
0.1672 0.8328 0.5000 La
0.5000 0.5000 0.5000 La
0.8328 0.1672 0.5000 La
0.3333 0.6667 0.0000 Pr
0.6667 0.3333 0.0000 Pr
0.0839 0.4195 0.2511 Y
0.2517 0.2517 0.7489 Y
0.4195 0.0839 0.2511 Y
0.5805 0.9161 0.7489 Y
0.7483 0.7483 0.2511 Y
0.9161 0.5805 0.7489 Y
```

Values from the calculation:
Raw total energy: -5.591 eV/atom
Energy relative to the elements: 0.14 eV/f.u.
Density: 5.8 Mg/m³
M_tot: 0.0 μB/f.u.
Crystal system: monoclinic


[4]
A relaxed AcLa2PrY crystal, computed with PBE-GGA.

Geometry as POSCAR:
```
AcLa2PrY
1.0
6.6047 0.0000 0.0000
0.0000 6.0394 0.0000
-3.3001 0.0000 9.4951
Ac La Pr Y
2 4 2 2
direct
0.2363 0.2500 0.3037 Ac
0.7637 0.7500 0.6963 Ac
0.3649 0.7500 0.9056 La
0.4271 0.2500 0.7013 La
0.5729 0.7500 0.2987 La
0.6351 0.2500 0.0944 La
0.0426 0.2500 0.8995 Pr
0.9574 0.7500 0.1005 Pr
0.1594 0.7500 0.5020 Y
0.8406 0.2500 0.4980 Y
```

Values from the calculation:
Raw total energy: -5.001 eV/atom
Energy relative to the elements: 0.20 eV/f.u.
Density: 6.4 Mg/m³
M_tot: 0.0 μB/f.u.
Crystal system: monoclinic


[5]
A relaxed AcLaPr6Y2 crystal, computed with PBE-GGA.

Geometry as POSCAR:
```
AcLaPr6Y2
1.0
4.8114 -7.7715 0.0000
4.8114 7.7715 0.0000
-1.0441 0.0000 9.8708
Ac La Pr Y
2 2 12 4
direct
0.0377 0.9623 0.7500 Ac
0.9623 0.0377 0.2500 Ac
0.4070 0.5930 0.2500 La
0.5930 0.4070 0.7500 La
0.0116 0.5515 0.6773 Pr
0.1065 0.7549 0.0578 Pr
0.2451 0.8935 0.4422 Pr
0.2954 0.5187 0.8813 Pr
0.4485 0.9884 0.8227 Pr
0.4813 0.7046 0.6187 Pr
0.5187 0.2954 0.3813 Pr
0.5515 0.0116 0.1773 Pr
0.7046 0.4813 0.1187 Pr
0.7549 0.1065 0.5578 Pr
0.8935 0.2451 0.9422 Pr
0.9884 0.4485 0.3227 Pr
0.2011 0.3013 0.5506 Y
0.3013 0.2011 0.0506 Y
0.6987 0.7989 0.9494 Y
0.7989 0.6987 0.4494 Y
```

Values from the calculation:
Raw total energy: -4.952 eV/atom
Energy relative to the elements: 1.12 eV/f.u.
Density: 6.2 Mg/m³
M_tot: 0.0 μB/f.u.
Crystal system: monoclinic


[6]
A relaxed AcLaPr5Y2 crystal, computed with PBE-GGA.

Geometry as POSCAR:
```
AcLaPr5Y2
1.0
2.8607 -12.2204 0.0000
2.8607 12.2204 0.0000
0.0000 0.0000 9.6493
Ac La Pr Y
2 2 10 4
direct
0.1033 0.8967 0.5000 Ac
0.8967 0.1033 0.0000 Ac
0.2671 0.7329 0.8906 La
0.7329 0.2671 0.3906 La
0.0244 0.9756 0.1748 Pr
0.1031 0.8969 0.8933 Pr
0.1883 0.8117 0.1951 Pr
0.2404 0.7596 0.5709 Pr
0.4943 0.5057 0.3959 Pr
0.5057 0.4943 0.8959 Pr
0.7596 0.2404 0.0709 Pr
0.8117 0.1883 0.6951 Pr
0.8969 0.1031 0.3933 Pr
0.9756 0.0244 0.6748 Pr
0.3300 0.6700 0.2566 Y
0.3883 0.6117 0.6363 Y
0.6117 0.3883 0.1363 Y
0.6700 0.3300 0.7566 Y
```

Values from the calculation:
Raw total energy: -4.964 eV/atom
Energy relative to the elements: 1.19 eV/f.u.
Density: 6.1 Mg/m³
M_tot: 0.0 μB/f.u.
Crystal system: orthorhombic


[7]
A relaxed AcLaPrY2 crystal, computed with PBE-GGA.

Geometry as POSCAR:
```
AcLaPrY2
1.0
6.5055 0.0000 0.0000
0.0000 5.9756 0.0000
-3.2022 0.0000 9.4385
Ac La Pr Y
2 2 2 4
direct
0.0681 0.2500 0.3025 Ac
0.9319 0.7500 0.6975 Ac
0.1367 0.7500 0.0969 La
0.8633 0.2500 0.9031 La
0.3345 0.7500 0.5030 Pr
0.6655 0.2500 0.4970 Pr
0.2786 0.2500 0.7079 Y
0.4676 0.2500 0.0966 Y
0.5324 0.7500 0.9034 Y
0.7214 0.7500 0.2921 Y
```

Values from the calculation:
Raw total energy: -5.313 eV/atom
Energy relative to the elements: 0.18 eV/f.u.
Density: 6.2 Mg/m³
M_tot: 0.0 μB/f.u.
Crystal system: monoclinic


[8]
A relaxed AcLa2Pr5Y crystal, computed with PBE-GGA.

Geometry as POSCAR:
```
AcLa2Pr5Y
1.0
-4.5523 4.5523 8.0643
4.5523 -4.5523 8.0643
4.5523 4.5523 -8.0643
Ac La Pr Y
2 4 10 2
direct
0.2500 0.2500 0.0000 Ac
0.7500 0.7500 0.0000 Ac
0.1172 0.6172 0.7343 La
0.3828 0.1172 0.5000 La
0.6172 0.8828 0.5000 La
0.8828 0.3828 0.2657 La
0.0000 0.0000 0.0000 Pr
0.0757 0.1500 0.5000 Pr
0.1500 0.6500 0.0743 Pr
0.3500 0.4243 0.5000 Pr
0.4243 0.9243 0.0743 Pr
0.5000 0.5000 0.0000 Pr
0.5757 0.0757 0.9257 Pr
0.6500 0.5757 0.5000 Pr
0.8500 0.3500 0.9257 Pr
0.9243 0.8500 0.5000 Pr
0.2500 0.7500 0.5000 Y
0.7500 0.2500 0.5000 Y
```

Values from the calculation:
Raw total energy: -4.693 eV/atom
Energy relative to the elements: 2.09 eV/f.u.
Density: 6.4 Mg/m³
M_tot: 0.0 μB/f.u.
Crystal system: tetragonal


[9]
A relaxed AcLa2Pr6Y3 crystal, computed with PBE-GGA.

Geometry as POSCAR:
```
AcLa2Pr6Y3
1.0
3.2180 -5.5787 0.0000
3.2180 5.5787 0.0000
-2.1481 0.0000 12.0509
Ac La Pr Y
1 2 6 3
direct
0.0000 0.0000 0.0000 Ac
0.3333 0.6667 0.0000 La
0.6667 0.3333 0.0000 La
0.0861 0.4211 0.2568 Pr
0.2488 0.2488 0.7429 Pr
0.4211 0.0861 0.2568 Pr
0.5789 0.9139 0.7432 Pr
0.7512 0.7512 0.2571 Pr
0.9139 0.5789 0.7432 Pr
0.1668 0.8332 0.5000 Y
0.5000 0.5000 0.5000 Y
0.8332 0.1668 0.5000 Y
```

Values from the calculation:
Raw total energy: -5.149 eV/atom
Energy relative to the elements: 0.25 eV/f.u.
Density: 6.2 Mg/m³
M_tot: 0.0 μB/f.u.
Crystal system: monoclinic


[10]
A relaxed Ac2La5PrY crystal, computed with PBE-GGA.

Geometry as POSCAR:
```
Ac2La5PrY
1.0
-4.6409 4.6409 8.0588
4.6409 -4.6409 8.0588
4.6409 4.6409 -8.0588
Ac La Pr Y
4 10 2 2
direct
0.1260 0.6260 0.7520 Ac
0.3740 0.1260 0.5000 Ac
0.6260 0.8740 0.5000 Ac
0.8740 0.3740 0.2480 Ac
0.0000 0.0000 0.0000 La
0.0586 0.1483 0.5000 La
0.1483 0.6483 0.0897 La
0.3517 0.4414 0.5000 La
0.4414 0.9414 0.0897 La
0.5000 0.5000 0.0000 La
0.5586 0.0586 0.9103 La
0.6483 0.5586 0.5000 La
0.8517 0.3517 0.9103 La
0.9414 0.8517 0.5000 La
0.2500 0.2500 0.0000 Pr
0.7500 0.7500 0.0000 Pr
0.2500 0.7500 0.5000 Y
0.7500 0.2500 0.5000 Y
```

Values from the calculation:
Raw total energy: -4.596 eV/atom
Energy relative to the elements: 2.73 eV/f.u.
Density: 6.6 Mg/m³
M_tot: 0.0 μB/f.u.
Crystal system: tetragonal


[11]
A relaxed AcLa2Pr2Y crystal, computed with PBE-GGA.

Geometry as POSCAR:
```
AcLa2Pr2Y
1.0
5.8963 0.0000 0.0000
0.0000 10.2490 0.0000
0.0000 0.0000 7.3652
Ac La Pr Y
2 4 4 2
direct
0.0000 0.0003 0.0000 Ac
0.0000 0.9997 0.5000 Ac
0.0000 0.3336 0.2506 La
0.0000 0.6664 0.7506 La
0.5000 0.4998 0.0003 La
0.5000 0.5002 0.5003 La
0.0000 0.3376 0.7503 Pr
0.0000 0.6624 0.2503 Pr
0.5000 0.1718 0.2501 Pr
0.5000 0.8282 0.7501 Pr
0.5000 0.1663 0.7499 Y
0.5000 0.8337 0.2499 Y
```

Values from the calculation:
Raw total energy: -4.954 eV/atom
Energy relative to the elements: 0.26 eV/f.u.
Density: 6.5 Mg/m³
M_tot: 0.0 μB/f.u.
Crystal system: orthorhombic


[12]
A relaxed Ac2LaPrY5 crystal, computed with PBE-GGA.

Geometry as POSCAR:
```
Ac2LaPrY5
1.0
2.9373 -8.9264 0.0000
2.9373 8.9264 0.0000
0.0000 0.0000 12.4140
Ac La Pr Y
4 2 2 10
direct
0.0822 0.9178 0.5000 Ac
0.1089 0.8911 0.1656 Ac
0.8911 0.1089 0.6656 Ac
0.9178 0.0822 0.0000 Ac
0.2532 0.7468 0.6706 La
0.7468 0.2532 0.1706 La
0.3937 0.6063 0.1839 Pr
0.6063 0.3937 0.6839 Pr
0.0898 0.9102 0.8458 Y
0.2670 0.7330 0.3656 Y
0.2716 0.7284 0.9760 Y
0.4351 0.5649 0.5133 Y
0.4378 0.5622 0.8102 Y
0.5622 0.4378 0.3102 Y
0.5649 0.4351 0.0133 Y
0.7284 0.2716 0.4760 Y
0.7330 0.2670 0.8656 Y
0.9102 0.0898 0.3458 Y
```

Values from the calculation:
Raw total energy: -5.494 eV/atom
Energy relative to the elements: 0.80 eV/f.u.
Density: 6.0 Mg/m³
M_tot: 0.0 μB/f.u.
Crystal system: orthorhombic